(1)
The following is a PBE-GGA calculation of an optimized crystal structure of CuSnSbCl2, from Alexandria.

Lattice parameters (Å, degrees): 4.618 4.618 5.751 90.00 90.00 90.00
Fractional coordinates of all 5 atoms:
Cu  0.000  0.000  0.000
Sn  0.000  0.000  0.500
Sb  0.500  0.500  0.500
Cl  0.000  0.500  0.000
Cl  0.500  0.000  0.000

Formation energy from raw total energies (meV/atom): -26

***

(2)
The following is a PBE-GGA calculation of an optimized crystal structure of SrCu2SbCl, from Alexandria.

Lattice parameters (Å, degrees): 5.457 5.457 6.517 90.00 90.00 90.00
Fractional coordinates of all 5 atoms:
Sr  0.000  0.000  0.000
Cu  0.000  0.500  0.000
Cu  0.500  0.000  0.000
Sb  0.000  0.000  0.500
Cl  0.500  0.500  0.500

Formation energy from raw total energies (meV/atom): 1064

***

(3)
The following is a PBE-GGA calculation of an optimized crystal structure of CuSb2TeCl, from Alexandria.

Lattice parameters (Å, degrees): 5.186 5.186 5.050 90.00 90.00 90.00
Fractional coordinates of all 5 atoms:
Cu  0.000  0.000  0.000
Sb  0.000  0.500  0.000
Sb  0.500  0.000  0.000
Te  0.000  0.000  0.500
Cl  0.500  0.500  0.500

Formation energy from raw total energies (meV/atom): 335
Energy above the most stable polymorph in this dataset (kJ per mole of atoms): 0.0

***

(4)
The following is a PBE-GGA calculation of an optimized crystal structure of CuSb2TeCl, from Alexandria.

Lattice parameters (Å, degrees): 5.239 5.239 5.585 90.00 90.00 90.00
Fractional coordinates of all 5 atoms:
Cu  0.000  0.000  0.000
Sb  0.000  0.500  0.500
Sb  0.500  0.000  0.500
Te  0.500  0.500  0.000
Cl  0.500  0.500  0.500

Formation energy from raw total energies (meV/atom): 1054
Energy above the most stable polymorph in this dataset (kJ per mole of atoms): 69.4

***

(5)
The following is a PBE-GGA calculation of an optimized crystal structure of TlCu2SbCl6, from Alexandria.

Lattice parameters (Å, degrees): 6.968 6.969 8.170 90.00 115.22 119.97
Fractional coordinates of all 10 atoms:
Tl  0.000  0.000  0.000
Cu  0.473  0.236  0.709
Cu  0.526  0.764  0.290
Sb  0.000  0.500  0.500
Cl  0.181  0.277  0.721
Cl  0.184  0.459  0.279
Cl  0.445  0.904  0.721
Cl  0.555  0.097  0.279
Cl  0.817  0.540  0.721
Cl  0.821  0.726  0.280

Formation energy from raw total energies (meV/atom): -716

***

(6)
The following is a PBE-GGA calculation of an optimized crystal structure of TlCuSbCl5, from Alexandria.

Lattice parameters (Å, degrees): 7.424 7.424 10.089 103.87 103.87 106.78
Fractional coordinates of all 16 atoms:
Tl  0.149  0.851  0.750
Tl  0.851  0.149  0.250
Cu  0.194  0.806  0.250
Cu  0.806  0.194  0.750
Sb  0.500  0.500  0.000
Sb  0.500  0.500  0.500
Cl  0.116  0.258  0.919
Cl  0.190  0.604  0.392
Cl  0.258  0.116  0.419
Cl  0.396  0.810  0.108
Cl  0.424  0.576  0.750
Cl  0.576  0.424  0.250
Cl  0.604  0.190  0.892
Cl  0.742  0.884  0.581
Cl  0.810  0.396  0.608
Cl  0.884  0.742  0.081

Formation energy from raw total energies (meV/atom): -791

***

(7)
The following is a PBE-GGA calculation of an optimized crystal structure of Tl2CuSbCl6, from Alexandria.

Lattice parameters (Å, degrees): 7.422 7.423 7.568 108.92 115.58 103.21
Fractional coordinates of all 10 atoms:
Tl  0.000  0.000  0.000
Tl  0.489  0.493  0.999
Cu  0.713  0.287  0.507
Sb  0.285  0.848  0.638
Cl  0.027  0.585  0.705
Cl  0.047  0.068  0.620
Cl  0.067  0.657  0.227
Cl  0.506  0.122  0.135
Cl  0.516  0.621  0.644
Cl  0.616  0.173  0.709

Formation energy from raw total energies (meV/atom): -834

***

(8)
The following is a PBE-GGA calculation of an optimized crystal structure of ScCuCl2, from Alexandria.

Lattice parameters (Å, degrees): 10.379 10.379 10.379 18.66 18.66 18.66
Fractional coordinates of all 4 atoms:
Sc  0.000  0.000  0.000
Cu  0.500  0.500  0.500
Cl  0.280  0.280  0.280
Cl  0.720  0.720  0.720

Formation energy from raw total energies (meV/atom): -855
Energy above the most stable polymorph in this dataset (kJ per mole of atoms): 16.6

***

(9)
The following is a PBE-GGA calculation of an optimized crystal structure of ScCuCl2, from Alexandria.

Lattice parameters (Å, degrees): 5.966 5.966 7.192 123.50 123.50 32.01
Fractional coordinates of all 4 atoms:
Sc  0.000  0.000  0.000
Cu  0.718  0.718  0.122
Cl  0.360  0.360  0.684
Cl  0.460  0.460  0.230

Formation energy from raw total energies (meV/atom): -1010
Energy above the most stable polymorph in this dataset (kJ per mole of atoms): 1.7

***

(10)
The following is a PBE-GGA calculation of an optimized crystal structure of ScCuCl2, from Alexandria.

Lattice parameters (Å, degrees): 3.320 3.320 6.406 90.00 90.00 90.00
Fractional coordinates of all 4 atoms:
Sc  0.000  0.000  0.000
Cu  0.000  0.000  0.500
Cl  0.500  0.500  0.226
Cl  0.500  0.500  0.774

Formation energy from raw total energies (meV/atom): -655
Energy above the most stable polymorph in this dataset (kJ per mole of atoms): 36.0

***

(11)
The following is a PBE-GGA calculation of an optimized crystal structure of ScCu2Cl, from Alexandria.

Lattice parameters (Å, degrees): 3.737 3.737 6.576 90.32 90.32 59.56
Fractional coordinates of all 4 atoms:
Sc  0.000  0.000  0.000
Cu  0.334  0.334  0.629
Cu  0.667  0.667  0.780
Cl  0.334  0.334  0.247

Formation energy from raw total energies (meV/atom): -437
Energy above the most stable polymorph in this dataset (kJ per mole of atoms): 0.0

***

(12)
The following is a PBE-GGA calculation of an optimized crystal structure of ScCuCl2, from Alexandria.

Lattice parameters (Å, degrees): 4.641 4.641 4.641 60.00 60.00 60.00
Fractional coordinates of all 4 atoms:
Sc  0.000  0.000  0.000
Cu  0.500  0.500  0.500
Cl  0.250  0.250  0.250
Cl  0.750  0.750  0.750

Formation energy from raw total energies (meV/atom): -582
Energy above the most stable polymorph in this dataset (kJ per mole of atoms): 43.0